# As2OsRhBr

Crystalline As2OsRhBr at its relaxed geometry (GGA-PBE, Alexandria).

a = 4.6782 Å, b = 4.6782 Å, c = 5.3095 Å
α = 90.00°, β = 90.00°, γ = 90.00°
Atoms (fractional coordinates):
As 0.0000 0.5000 0.0000
As 0.5000 0.0000 0.0000
Os 0.0000 0.0000 0.0000
Rh 0.5000 0.5000 0.5000
Br 0.0000 0.0000 0.5000

Properties
Final energy   -4.90 eV per atom
Symmetry   P4/mmm

***

# YTaFe2

Crystalline YTaFe2 at its relaxed geometry (GGA-PBE, Alexandria).

a = 4.5181 Å, b = 4.5181 Å, c = 3.1220 Å
α = 90.00°, β = 90.00°, γ = 90.00°
Atoms (fractional coordinates):
Y 0.0000 0.0000 0.0000
Ta 0.5000 0.5000 0.0000
Fe 0.0000 0.5000 0.5000
Fe 0.5000 0.0000 0.5000

Properties
Final energy   -8.67 eV per atom
Symmetry   P4/mmm
ΔE_f   138 meV/atom

***

# TmZrOs2

Crystalline TmZrOs2 at its relaxed geometry (GGA-PBE, Alexandria).

a = 4.6914 Å, b = 4.6914 Å, c = 4.6914 Å
α = 60.00°, β = 60.00°, γ = 60.00°
Atoms (fractional coordinates):
Tm 0.0000 0.0000 0.0000
Zr 0.5000 0.5000 0.5000
Os 0.2500 0.2500 0.2500
Os 0.7500 0.7500 0.7500

Properties
Final energy   -9.23 eV per atom
Symmetry   Fm-3m
ΔE_f   -364 meV/atom

***

# Zn4Co5

Crystalline Zn4Co5 at its relaxed geometry (GGA-PBE, Alexandria).

a = 5.7324 Å, b = 5.7324 Å, c = 5.7324 Å
α = 96.08°, β = 96.08°, γ = 142.02°
Atoms (fractional coordinates):
Zn 0.0000 0.3205 0.3205
Zn 0.0000 0.6795 0.6795
Zn 0.3205 0.0000 0.3205
Zn 0.6795 0.0000 0.6795
Co 0.0000 0.0000 0.0000
Co 0.3414 0.3414 0.6828
Co 0.3414 0.6586 0.0000
Co 0.6586 0.3414 0.0000
Co 0.6586 0.6586 0.3172

Properties
Final energy   -4.48 eV per atom
Symmetry   I4/mmm
ΔE_f   36 meV/atom

***

Question: final energy of number 1 (As2OsRhBr)?
Answer: -4.90 eV per atom

***

Question: Which value of final energy does entry 2 give?
Answer: -8.67 eV per atom